[1]
TlCr2Os at its PBEsol-relaxed geometry. Source: Alexandria via LeMat-Bulk, functional meta-GGA SCAN.

Unit cell a=3.983 b=4.661 c=3.983 alpha=115.29 beta=90.00 gamma=115.29
Each line ends with the local moment (μB).
Fractional positions:
Cr (0.750, 0.500, 0.250)  3.08
Cr (0.250, 0.500, 0.750)  3.08
Os (0.500, 0.000, 0.500)  0.00
Tl (0.000, 0.000, 0.000)  -0.05

Calculated values
DFT formation energy = 2.2 eV per formula unit
symmetry = I4/mmm
N(E_F) = 2.2 states/eV/f.u.
energy above the lowest structure with this stoichiometry = 0.065 eV per atom

=====

[2]
LuRe2 at its PBEsol-relaxed geometry. Source: Alexandria via LeMat-Bulk, functional meta-GGA SCAN.

Unit cell a=5.315 b=5.315 c=8.636 alpha=90.00 beta=90.00 gamma=120.00
Fractional positions:
Re (0.171, 0.343, 0.750)
Re (0.171, 0.829, 0.750)
Re (0.343, 0.171, 0.250)
Re (0.829, 0.657, 0.250)
Re (0.657, 0.829, 0.750)
Re (0.000, 0.000, 0.000)
Re (0.829, 0.171, 0.250)
Re (0.000, 0.000, 0.500)
Lu (0.333, 0.667, 0.438)
Lu (0.667, 0.333, 0.562)
Lu (0.667, 0.333, 0.938)
Lu (0.333, 0.667, 0.062)

Calculated values
DFT formation energy = -1.3 eV per formula unit
symmetry = P6_3/mmc
N(E_F) = 1.9 states/eV/f.u.

=====

[3]
InMoPb2 at its PBEsol-relaxed geometry. Source: Alexandria via LeMat-Bulk, functional meta-GGA SCAN.

Unit cell a=3.098 b=3.098 c=10.477 alpha=90.00 beta=90.00 gamma=106.11
Fractional positions:
In (0.500, 0.500, 0.500)
Mo (0.500, 0.500, 0.000)
Pb (0.000, 0.000, 0.210)
Pb (0.000, 0.000, 0.790)

Calculated values
DFT formation energy = 2.0 eV per formula unit
symmetry = Cmmm
N(E_F) = 2.1 states/eV/f.u.

=====

[4]
ReTcRu at its PBEsol-relaxed geometry. Source: Alexandria via LeMat-Bulk, functional meta-GGA SCAN.

Unit cell a=4.120 b=4.120 c=4.120 alpha=60.00 beta=60.00 gamma=60.00
Fractional positions:
Re (0.500, 0.500, 0.500)
Ru (0.250, 0.250, 0.250)
Tc (0.000, 0.000, 0.000)

Calculated values
DFT formation energy = 2.3 eV per formula unit
symmetry = F-43m
N(E_F) = 3.2 states/eV/f.u.

=====

[5]
LaY at its PBEsol-relaxed geometry. Source: Alexandria via LeMat-Bulk, functional meta-GGA SCAN.

Unit cell a=3.665 b=5.795 c=6.189 alpha=90.00 beta=90.00 gamma=90.00
Fractional positions:
Y (0.000, 0.750, 0.170)
Y (0.000, 0.250, 0.830)
La (0.500, 0.750, 0.672)
La (0.500, 0.250, 0.328)

Calculated values
DFT formation energy = 0.1 eV per formula unit
symmetry = Pmma
N(E_F) = 3.0 states/eV/f.u.
energy above the lowest structure with this stoichiometry = 0.022 eV per atom

=====

[6]
Tl3ZnRh at its PBEsol-relaxed geometry. Source: Alexandria via LeMat-Bulk, functional meta-GGA SCAN.

Unit cell a=5.034 b=5.034 c=5.034 alpha=90.00 beta=90.00 gamma=90.00
Each line ends with the local moment (μB).
Fractional positions:
Tl (0.000, 0.500, 0.000)  -0.01
Tl (0.000, 0.000, 0.500)  -0.01
Tl (0.500, 0.000, 0.000)  -0.01
Rh (0.500, 0.500, 0.500)  0.95
Zn (0.000, 0.000, 0.000)  0.01

Calculated values
DFT formation energy = 4.3 eV per formula unit
symmetry = Pm-3m
N(E_F) = 5.7 states/eV/f.u.

=====

[7]
P2RhCl at its PBEsol-relaxed geometry. Source: Alexandria via LeMat-Bulk, functional meta-GGA SCAN.

Unit cell a=4.316 b=4.316 c=4.316 alpha=60.00 beta=60.00 gamma=60.00
Fractional positions:
Cl (0.000, 0.000, 0.000)
P (0.250, 0.250, 0.250)
P (0.750, 0.750, 0.750)
Rh (0.500, 0.500, 0.500)

Calculated values
symmetry = Fm-3m
N(E_F) = 2.1 states/eV/f.u.
energy above the lowest structure with this stoichiometry = 0.882 eV per atom

=====

[8]
InHg2Cl at its PBEsol-relaxed geometry. Source: Alexandria via LeMat-Bulk, functional meta-GGA SCAN.

Unit cell a=3.945 b=4.596 c=6.337 alpha=111.17 beta=108.14 gamma=90.00
Fractional positions:
In (0.000, 0.500, 0.000)
Hg (0.741, 0.741, 0.481)
Hg (0.259, 0.259, 0.519)
Cl (0.500, 0.000, 0.000)

Calculated values
symmetry = C2/m
N(E_F) = 0.4 states/eV/f.u.
energy above the lowest structure with this stoichiometry = 0.022 eV per atom

=====

[9]
InAgSe2Br at its PBEsol-relaxed geometry. Source: Alexandria via LeMat-Bulk, functional meta-GGA SCAN.

Unit cell a=5.023 b=5.023 c=5.259 alpha=90.00 beta=90.00 gamma=90.00
Fractional positions:
Se (0.000, 0.500, 0.000)
Se (0.500, 0.000, 0.000)
Br (0.000, 0.000, 0.500)
Ag (0.000, 0.000, 0.000)
In (0.500, 0.500, 0.500)

Calculated values
symmetry = P4/mmm
DFT total energy = -24.703 eV per atom
N(E_F) = 6.3 states/eV/f.u.

=====

[10]
Sr2Zn at its PBEsol-relaxed geometry. Source: Alexandria via LeMat-Bulk, functional meta-GGA SCAN.

Unit cell a=10.576 b=10.576 c=10.576 alpha=60.00 beta=60.00 gamma=60.00
Fractional positions:
Sr (0.125, 0.125, 0.625)
Sr (0.125, 0.625, 0.125)
Sr (0.625, 0.125, 0.125)
Sr (0.125, 0.125, 0.125)
Sr (0.940, 0.560, 0.560)
Sr (0.560, 0.940, 0.560)
Sr (0.560, 0.560, 0.940)
Sr (0.940, 0.940, 0.560)
Sr (0.940, 0.560, 0.940)
Sr (0.560, 0.940, 0.940)
Sr (0.310, 0.690, 0.690)
Sr (0.690, 0.310, 0.690)
Sr (0.690, 0.690, 0.310)
Sr (0.310, 0.310, 0.690)
Sr (0.310, 0.690, 0.310)
Sr (0.690, 0.310, 0.310)
Zn (0.322, 0.322, 0.322)
Zn (0.035, 0.322, 0.322)
Zn (0.322, 0.035, 0.322)
Zn (0.322, 0.322, 0.035)
Zn (0.928, 0.928, 0.928)
Zn (0.215, 0.928, 0.928)
Zn (0.928, 0.215, 0.928)
Zn (0.928, 0.928, 0.215)

Calculated values
DFT formation energy = -0.1 eV per formula unit
symmetry = Fd-3m
N(E_F) = 2.7 states/eV/f.u.

=====

[11]
ZrCdTc2 at its PBEsol-relaxed geometry. Source: Alexandria via LeMat-Bulk, functional meta-GGA SCAN.

Unit cell a=2.830 b=2.830 c=9.811 alpha=81.71 beta=81.71 gamma=60.00
Fractional positions:
Cd (0.000, 0.000, 0.000)
Tc (0.251, 0.251, 0.248)
Tc (0.749, 0.749, 0.752)
Zr (0.500, 0.500, 0.500)

Calculated values
DFT formation energy = 1.7 eV per formula unit
symmetry = R-3m
N(E_F) = 4.5 states/eV/f.u.

=====

[12]
NbOsPb3 at its PBEsol-relaxed geometry. Source: Alexandria via LeMat-Bulk, functional meta-GGA SCAN.

Unit cell a=5.357 b=5.357 c=5.357 alpha=90.00 beta=90.00 gamma=90.00
Each line ends with the local moment (μB).
Fractional positions:
Pb (0.000, 0.500, 0.000)  0.00
Pb (0.000, 0.000, 0.500)  0.00
Pb (0.500, 0.000, 0.000)  0.00
Nb (0.000, 0.000, 0.000)  0.78
Os (0.500, 0.500, 0.500)  2.58

Calculated values
DFT formation energy = 7.8 eV per formula unit
symmetry = Pm-3m
N(E_F) = 2.4 states/eV/f.u.
energy above the lowest structure with this stoichiometry = 0.392 eV per atom

=====

[13]
GeSb2PtI at its PBEsol-relaxed geometry. Source: Alexandria via LeMat-Bulk, functional meta-GGA SCAN.

Unit cell a=5.171 b=5.225 c=5.225 alpha=90.00 beta=90.00 gamma=90.00
Fractional positions:
I (0.500, 0.000, 0.000)
Sb (0.000, 0.000, 0.500)
Sb (0.000, 0.500, 0.000)
Ge (0.000, 0.000, 0.000)
Pt (0.500, 0.500, 0.500)

Calculated values
symmetry = P4/mmm
N(E_F) = 3.1 states/eV/f.u.
energy above the lowest structure with this stoichiometry = 0.594 eV per atom

=====

[14]
BaMgRh at its PBEsol-relaxed geometry. Source: Alexandria via LeMat-Bulk, functional meta-GGA SCAN.

Unit cell a=4.498 b=4.498 c=4.648 alpha=90.00 beta=90.00 gamma=120.00
Fractional positions:
Ba (0.000, 0.000, 0.500)
Mg (0.333, 0.667, 0.000)
Rh (0.667, 0.333, 0.000)

Calculated values
DFT formation energy = -0.5 eV per formula unit
symmetry = P-6m2
N(E_F) = 1.7 states/eV/f.u.

=====

[15]
ZrIrPd3 at its PBEsol-relaxed geometry. Source: Alexandria via LeMat-Bulk, functional meta-GGA SCAN.

Unit cell a=4.705 b=4.705 c=4.705 alpha=90.00 beta=90.00 gamma=90.00
Fractional positions:
Ir (0.000, 0.000, 0.000)
Zr (0.500, 0.500, 0.500)
Pd (0.000, 0.500, 0.000)
Pd (0.000, 0.000, 0.500)
Pd (0.500, 0.000, 0.000)

Calculated values
DFT formation energy = 4.8 eV per formula unit
symmetry = Pm-3m
N(E_F) = 8.1 states/eV/f.u.

=====

[16]
AgHgIO2 at its PBEsol-relaxed geometry. Source: Alexandria via LeMat-Bulk, functional meta-GGA SCAN.

Unit cell a=4.085 b=4.085 c=6.808 alpha=90.00 beta=90.00 gamma=90.00
Each line ends with the local moment (μB).
Fractional positions:
I (0.000, 0.000, 0.500)  -0.01
O (0.000, 0.500, 0.000)  0.40
O (0.500, 0.000, 0.000)  0.40
Hg (0.000, 0.000, 0.000)  0.02
Ag (0.500, 0.500, 0.500)  0.00

Calculated values
symmetry = P4/mmm
DFT total energy = -29.366 eV per atom
N(E_F) = 1.8 states/eV/f.u.

=====

[17]
Nb3S5 at its PBEsol-relaxed geometry. Source: Alexandria via LeMat-Bulk, functional meta-GGA SCAN.

Unit cell a=5.784 b=7.035 c=7.801 alpha=107.54 beta=97.23 gamma=105.81
Fractional positions:
Nb (0.672, 0.521, 0.983)
Nb (0.003, 0.994, 0.002)
Nb (0.597, 0.205, 0.205)
Nb (0.196, 0.398, 0.396)
Nb (0.796, 0.597, 0.606)
Nb (0.403, 0.793, 0.801)
S (0.231, 0.042, 0.307)
S (0.055, 0.638, 0.908)
S (0.830, 0.241, 0.504)
S (0.632, 0.857, 0.121)
S (0.412, 0.421, 0.689)
S (0.903, 0.565, 0.299)
S (0.703, 0.155, 0.893)
S (0.503, 0.758, 0.498)
S (0.296, 0.359, 0.092)
S (0.101, 0.954, 0.697)

Calculated values
symmetry = P1
DFT total energy = -19.677 eV per atom
N(E_F) = 0.3 states/eV/f.u.

=====

[18]
KTe2O at its PBEsol-relaxed geometry. Source: Alexandria via LeMat-Bulk, functional meta-GGA SCAN.

Unit cell a=3.522 b=3.522 c=9.918 alpha=79.77 beta=79.77 gamma=60.00
Fractional positions:
K (0.500, 0.500, 0.500)
Te (0.930, 0.930, 0.210)
Te (0.070, 0.070, 0.790)
O (0.000, 0.000, 0.000)

Calculated values
symmetry = R-3m
DFT total energy = -22.277 eV per atom
N(E_F) = 3.0 states/eV/f.u.

=====

[19]
SrRhAuI2 at its PBEsol-relaxed geometry. Source: Alexandria via LeMat-Bulk, functional meta-GGA SCAN.

Unit cell a=5.153 b=5.153 c=5.732 alpha=90.00 beta=90.00 gamma=90.00
Fractional positions:
I (0.000, 0.500, 0.000)
I (0.500, 0.000, 0.000)
Rh (0.000, 0.000, 0.000)
Au (0.500, 0.500, 0.500)
Sr (0.000, 0.000, 0.500)

Calculated values
symmetry = P4/mmm
DFT total energy = -39.934 eV per atom
N(E_F) = 3.8 states/eV/f.u.

=====

[20]
Li2CoSi at its PBEsol-relaxed geometry. Source: Alexandria via LeMat-Bulk, functional meta-GGA SCAN.

Unit cell a=2.673 b=3.851 c=4.931 alpha=112.98 beta=105.72 gamma=90.00
Fractional positions:
Si (0.500, 0.000, 0.000)
Co (0.000, 0.500, 0.000)
Li (0.744, 0.744, 0.488)
Li (0.256, 0.256, 0.512)

Calculated values
symmetry = Immm
DFT total energy = -8.155 eV per atom
N(E_F) = 1.6 states/eV/f.u.

=====

[21]
La2TlGeI at its PBEsol-relaxed geometry. Source: Alexandria via LeMat-Bulk, functional meta-GGA SCAN.

Unit cell a=5.381 b=5.855 c=5.855 alpha=90.00 beta=90.00 gamma=90.00
Fractional positions:
I (0.000, 0.000, 0.000)
Tl (0.500, 0.500, 0.500)
Ge (0.500, 0.000, 0.000)
La (0.000, 0.000, 0.500)
La (0.000, 0.500, 0.000)

Calculated values
symmetry = P4/mmm
DFT total energy = -42.768 eV per atom
N(E_F) = 3.4 states/eV/f.u.

=====

[22]
CaMg2Zn3 at its PBEsol-relaxed geometry. Source: Alexandria via LeMat-Bulk, functional meta-GGA SCAN.

Unit cell a=4.647 b=4.647 c=12.588 alpha=90.00 beta=90.00 gamma=120.00
Fractional positions:
Ca (0.000, 0.000, 0.750)
Ca (0.000, 0.000, 0.250)
Mg (0.333, 0.667, 0.422)
Mg (0.667, 0.333, 0.922)
Mg (0.667, 0.333, 0.578)
Mg (0.333, 0.667, 0.078)
Zn (0.333, 0.667, 0.856)
Zn (0.667, 0.333, 0.356)
Zn (0.667, 0.333, 0.144)
Zn (0.333, 0.667, 0.644)
Zn (0.000, 0.000, 0.000)
Zn (0.000, 0.000, 0.500)

Calculated values
DFT formation energy = -1.2 eV per formula unit
symmetry = P6_3/mmc
N(E_F) = 2.2 states/eV/f.u.
energy above the lowest structure with this stoichiometry = 0.000 eV per atom

=====

[23]
AgPt2Au at its PBEsol-relaxed geometry. Source: Alexandria via LeMat-Bulk, functional meta-GGA SCAN.

Unit cell a=2.752 b=4.794 c=5.538 alpha=115.48 beta=104.12 gamma=90.60
Fractional positions:
Au (0.000, 0.500, 0.000)
Pt (0.000, 0.000, 0.500)
Pt (0.500, 0.500, 0.500)
Ag (0.500, 0.000, 0.000)

Calculated values
DFT formation energy = 0.0 eV per formula unit
symmetry = C2/m
N(E_F) = 1.9 states/eV/f.u.
energy above the lowest structure with this stoichiometry = 0.000 eV per atom

=====

[24]
HfGe2AuCl at its PBEsol-relaxed geometry. Source: Alexandria via LeMat-Bulk, functional meta-GGA SCAN.

Unit cell a=4.642 b=4.765 c=4.765 alpha=90.00 beta=90.00 gamma=90.00
Fractional positions:
Hf (0.500, 0.500, 0.500)
Ge (0.000, 0.000, 0.500)
Ge (0.000, 0.500, 0.000)
Au (0.500, 0.000, 0.000)
Cl (0.000, 0.000, 0.000)

Calculated values
symmetry = P4/mmm
DFT total energy = -34.682 eV per atom
N(E_F) = 2.4 states/eV/f.u.

=====

[25]
Li2TaPb at its PBEsol-relaxed geometry. Source: Alexandria via LeMat-Bulk, functional meta-GGA SCAN.

Unit cell a=3.096 b=4.896 c=4.914 alpha=90.00 beta=90.00 gamma=90.00
Each line ends with the local moment (μB).
Fractional positions:
Li (0.000, 0.000, 0.000)  0.00
Li (0.500, 0.500, 0.000)  0.00
Pb (0.500, 0.000, 0.500)  0.01
Ta (0.000, 0.500, 0.500)  -0.38

Calculated values
DFT formation energy = 0.9 eV per formula unit
symmetry = Pmmm
N(E_F) = 2.0 states/eV/f.u.

=====

[26]
GeTeNO2 at its PBEsol-relaxed geometry. Source: Alexandria via LeMat-Bulk, functional meta-GGA SCAN.

Unit cell a=3.730 b=3.730 c=3.972 alpha=90.00 beta=90.00 gamma=90.00
Fractional positions:
Ge (0.000, 0.000, 0.000)
Te (0.500, 0.500, 0.500)
O (0.000, 0.500, 0.000)
O (0.500, 0.000, 0.000)
N (0.000, 0.000, 0.500)

Calculated values
symmetry = P4/mmm
DFT total energy = -15.787 eV per atom
N(E_F) = 1.4 states/eV/f.u.

=====

[27]
DyZn3P3 at its PBEsol-relaxed geometry. Source: Alexandria via LeMat-Bulk, functional meta-GGA SCAN.

Unit cell a=3.946 b=3.946 c=19.460 alpha=90.00 beta=90.00 gamma=120.00
Fractional positions:
Dy (0.000, 0.000, 0.500)
Dy (0.000, 0.000, 0.000)
Zn (0.333, 0.667, 0.750)
Zn (0.667, 0.333, 0.250)
Zn (0.333, 0.667, 0.372)
Zn (0.667, 0.333, 0.628)
Zn (0.667, 0.333, 0.872)
Zn (0.333, 0.667, 0.128)
P (0.333, 0.667, 0.916)
P (0.667, 0.333, 0.084)
P (0.667, 0.333, 0.416)
P (0.333, 0.667, 0.584)
P (0.333, 0.667, 0.250)
P (0.667, 0.333, 0.750)

Calculated values
DFT formation energy = -4.9 eV per formula unit
symmetry = P6_3/mmc